Entry 1:
Dy5YEr after structural relaxation, computed with PBE-GGA.

The structure in extended XYZ format:
```
7
Lattice="5.861 1.751 3.092 4.549 7.611 4.547 1.990 2.194 7.887" Properties=species:S:1:pos:R:3 pbc="T T T"
Dy 5.278 2.912 6.218
Dy 8.886 7.402 12.024
Dy 2.930 0.876 1.546
Dy 3.513 4.154 3.502
Dy 7.121 8.644 9.308
Y 7.851 3.945 10.979
Er 6.200 5.778 7.763
```

The energy above the lowest structure with this stoichiometry comes out at 0 meV/atom. The energy of formation comes out at 0.194 eV/atom.

Entry 2:
Y8Te3As3P after structural relaxation, computed with PBE-GGA.

The structure in extended XYZ format:
```
15
Lattice="-0.112 6.745 -4.856 -5.887 -5.811 -0.821 0.002 4.968 6.901" Properties=species:S:1:pos:R:3 pbc="T T T"
Y -3.105 0.136 0.261
Y -2.893 5.767 0.963
Y -3.182 3.490 -2.193
Y -2.816 2.413 3.417
Y -0.195 6.438 -1.776
Y -5.802 -0.535 3.001
Y -0.138 3.016 0.687
Y -5.859 2.887 0.537
Te 0.000 0.000 0.000
Te -2.943 -2.905 -0.411
Te -3.000 0.467 -2.839
As -0.055 5.857 1.023
As -2.999 2.951 0.612
As -2.943 -0.421 3.040
P 0.001 2.484 3.451
```

Entry 3:
CsBe2Si2 after structural relaxation, computed with PBE-GGA.

The structure in extended XYZ format:
```
5
Lattice="-2.390 0.212 3.037 -3.044 -0.079 -2.390 -2.848 -7.291 0.735" Properties=species:S:1:pos:R:3 pbc="T T T"
Cs 0.000 0.000 0.000
Be -3.977 -3.506 2.048
Be -4.304 -3.652 -0.665
Si -2.761 -2.421 0.463
Si -5.521 -4.737 0.920
```

Entry 4:
HoHg5Pd after structural relaxation, computed with PBE-GGA.

The structure in extended XYZ format:
```
7
Lattice="4.837 0.000 0.000 0.000 4.837 0.000 0.000 0.000 7.068" Properties=species:S:1:pos:R:3 pbc="T T T"
Ho 0.000 0.000 0.000
Hg 2.419 0.000 5.029
Hg 0.000 2.419 5.029
Hg 2.419 2.419 0.000
Hg 0.000 2.419 2.039
Hg 2.419 0.000 2.039
Pd 0.000 0.000 3.534
```

The energy of formation comes out at -0.271 eV/atom.

Total DFT energy (no corrections): -4.669, -6.761, -3.477, -1.883 (eV/atom)